Record 1
# Be2ZnSe

An optimized crystal structure of Be2ZnSe (GGA-PBE, Alexandria).

Raw formation energy = 21.3 kJ per mole of atoms
Symmetry = P4mm, No. 99
Offset from the most stable computed form = 0.1391 eV/atom

POSCAR file:
```
Be2ZnSe
1.0
3.2330 0.0000 0.0000
0.0000 3.2330 0.0000
0.0000 0.0000 6.0128
Be Zn Se
2 1 1
direct
0.0000 0.0000 0.0000 Be
0.5000 0.5000 0.2663 Be
0.5000 0.5000 0.8656 Zn
0.0000 0.0000 0.3682 Se
```



Record 2
# Ca5Pd4Rh

An optimized crystal structure of Ca5Pd4Rh (GGA-PBE, Alexandria).

DFT formation energy = -0.598 eV/atom
Symmetry = P4/mmm, No. 123

POSCAR file:
```
Ca5Pd4Rh
1.0
3.5749 0.0000 0.0000
0.0000 3.5749 0.0000
0.0000 0.0000 16.8340
Ca Pd Rh
5 4 1
direct
0.0000 0.0000 0.0000 Ca
0.0000 0.0000 0.2016 Ca
0.0000 0.0000 0.4036 Ca
0.0000 0.0000 0.5964 Ca
0.0000 0.0000 0.7984 Ca
0.5000 0.5000 0.1007 Pd
0.5000 0.5000 0.3012 Pd
0.5000 0.5000 0.6988 Pd
0.5000 0.5000 0.8993 Pd
0.5000 0.5000 0.5000 Rh
```



Record 3
# HfCd2Mo

An optimized crystal structure of HfCd2Mo (GGA-PBE, Alexandria).

DFT formation energy = 0.581 eV/atom
Symmetry = I-42d, No. 122

POSCAR file:
```
HfCd2Mo
1.0
-1.9889 1.9889 10.6926
1.9889 -1.9889 10.6926
1.9889 1.9889 -10.6926
Hf Cd Mo
2 4 2
direct
0.0000 0.0000 0.0000 Hf
0.7500 0.2500 0.5000 Hf
0.1344 0.6250 0.0094 Cd
0.3750 0.3844 0.5094 Cd
0.6156 0.1250 0.9906 Cd
0.8750 0.8656 0.4906 Cd
0.2500 0.7500 0.5000 Mo
0.5000 0.5000 0.0000 Mo
```



Record 4
# BaZrFe2

An optimized crystal structure of BaZrFe2 (GGA-PBE, Alexandria).

DFT formation energy = 0.757 eV/atom
Symmetry = R-3m, No. 166
Offset from the most stable computed form = 0.4687 eV/atom

POSCAR file:
```
BaZrFe2
1.0
1.7189 0.9924 8.5944
-1.7189 0.9924 8.5944
0.0000 -1.9848 8.5944
Ba Zr Fe
1 1 2
direct
0.0000 0.0000 0.0000 Ba
0.5000 0.5000 0.5000 Zr
0.2371 0.2371 0.2371 Fe
0.7629 0.7629 0.7629 Fe
```



Record 5
# BeZnMo

An optimized crystal structure of BeZnMo (GGA-PBE, Alexandria).

DFT formation energy = 0.433 eV/atom
Symmetry = F-43m, No. 216
Offset from the most stable computed form = 0.3061 eV/atom

POSCAR file:
```
BeZnMo
1.0
0.0000 2.7326 2.7326
2.7326 0.0000 2.7326
2.7326 2.7326 0.0000
Be Zn Mo
1 1 1
direct
0.0000 0.0000 0.0000 Be
0.7500 0.7500 0.7500 Zn
0.2500 0.2500 0.2500 Mo
```



Record 6
# CdIn2As

An optimized crystal structure of CdIn2As (GGA-PBE, Alexandria).

DFT formation energy = 0.100 eV/atom
Symmetry = Fm-3m, No. 225
Offset from the most stable computed form = 0.0956 eV/atom

POSCAR file:
```
CdIn2As
1.0
0.0000 3.6855 3.6855
3.6855 0.0000 3.6855
3.6855 3.6855 0.0000
Cd In As
1 2 1
direct
0.0000 0.0000 0.0000 Cd
0.2500 0.2500 0.2500 In
0.7500 0.7500 0.7500 In
0.5000 0.5000 0.5000 As
```



Record 7
# Zn2IrRh2

An optimized crystal structure of Zn2IrRh2 (GGA-PBE, Alexandria).

DFT formation energy = -0.027 eV/atom
Symmetry = P4/mbm, No. 127
Offset from the most stable computed form = 0.0000 eV/atom

POSCAR file:
```
Zn2IrRh2
1.0
7.0487 0.0000 0.0000
0.0000 7.0487 0.0000
0.0000 0.0000 2.8559
Zn Ir Rh
4 2 4
direct
0.1232 0.3768 0.0000 Zn
0.3768 0.8768 0.0000 Zn
0.6232 0.1232 0.0000 Zn
0.8768 0.6232 0.0000 Zn
0.0000 0.0000 0.0000 Ir
0.5000 0.5000 0.0000 Ir
0.1773 0.6773 0.5000 Rh
0.3227 0.1773 0.5000 Rh
0.6773 0.8227 0.5000 Rh
0.8227 0.3227 0.5000 Rh
```



Record 8
# AlAg3Sb

An optimized crystal structure of AlAg3Sb (GGA-PBE, Alexandria).

Raw formation energy = 57.3 kJ per mole of atoms
Symmetry = Pm-3m, No. 221
Offset from the most stable computed form = 0.1059 eV/atom

POSCAR file:
```
AlAg3Sb
1.0
5.2683 0.0000 0.0000
0.0000 5.2683 0.0000
0.0000 0.0000 5.2683
Al Ag Sb
1 3 1
direct
0.0000 0.0000 0.0000 Al
0.0000 0.5000 0.5000 Ag
0.5000 0.0000 0.5000 Ag
0.5000 0.5000 0.0000 Ag
0.5000 0.5000 0.5000 Sb
```



Record 9
# NdPtBr

An optimized crystal structure of NdPtBr (GGA-PBE, Alexandria).

Raw formation energy = -119.0 kJ per mole of atoms
Symmetry = Cmcm, No. 63

POSCAR file:
```
NdPtBr
1.0
1.9527 -11.4245 0.0000
1.9527 11.4245 0.0000
0.0000 0.0000 4.1136
Nd Pt Br
2 2 2
direct
0.0838 0.9162 0.7500 Nd
0.9162 0.0838 0.2500 Nd
0.4633 0.5367 0.7500 Pt
0.5367 0.4633 0.2500 Pt
0.1759 0.8241 0.2500 Br
0.8241 0.1759 0.7500 Br
```



Record 10
# ScInSe2

An optimized crystal structure of ScInSe2 (GGA-PBE, Alexandria).

Raw formation energy = -94.8 kJ per mole of atoms
Symmetry = I-42d, No. 122

POSCAR file:
```
ScInSe2
1.0
-3.7059 3.7059 4.7078
3.7059 -3.7059 4.7078
3.7059 3.7059 -4.7078
Sc In Se
2 2 4
direct
0.0000 0.0000 0.0000 Sc
0.7500 0.2500 0.5000 Sc
0.2500 0.7500 0.5000 In
0.5000 0.5000 0.0000 In
0.0577 0.6250 0.9327 Se
0.3750 0.3077 0.4327 Se
0.6923 0.1250 0.0673 Se
0.8750 0.9423 0.5673 Se
```



Record 11
# Nd2SmHo9

An optimized crystal structure of Nd2SmHo9 (GGA-PBE, Alexandria).

DFT formation energy = 0.022 eV/atom
Symmetry = P4/mmm, No. 123
Offset from the most stable computed form = 0.0000 eV/atom

POSCAR file:
```
Nd2SmHo9
1.0
5.0307 0.0000 0.0000
0.0000 5.0307 0.0000
0.0000 0.0000 15.0944
Nd Sm Ho
2 1 9
direct
0.0000 0.0000 0.1668 Nd
0.0000 0.0000 0.8332 Nd
0.0000 0.0000 0.5000 Sm
0.0000 0.5000 0.0000 Ho
0.0000 0.5000 0.3341 Ho
0.0000 0.5000 0.6659 Ho
0.5000 0.0000 0.0000 Ho
0.5000 0.0000 0.3341 Ho
0.5000 0.0000 0.6659 Ho
0.5000 0.5000 0.1671 Ho
0.5000 0.5000 0.5000 Ho
0.5000 0.5000 0.8329 Ho
```



Record 12
# V2GaI

An optimized crystal structure of V2GaI (GGA-PBE, Alexandria).

Raw formation energy = 71.1 kJ per mole of atoms
Symmetry = I-42d, No. 122
Offset from the most stable computed form = 0.1685 eV/atom

POSCAR file:
```
V2GaI
1.0
-2.0354 2.0354 9.1012
2.0354 -2.0354 9.1012
2.0354 2.0354 -9.1012
V Ga I
4 2 2
direct
0.0838 0.6250 0.9588 V
0.3750 0.3338 0.4588 V
0.6662 0.1250 0.0412 V
0.8750 0.9162 0.5412 V
0.0000 0.0000 0.0000 Ga
0.7500 0.2500 0.5000 Ga
0.2500 0.7500 0.5000 I
0.5000 0.5000 0.0000 I
```



no.,magnetization (μB/atom)
1,0.000
2,0.000
3,0.000
4,0.851
5,0.000
6,0.000
7,0.000
8,0.000
9,0.000
10,0.000
11,0.000
12,0.000